A relaxed structure of SrMgTl, computed with GGA-PBEsol.

ρ: 5.894 g/cm³
ΔE_f: -0.31 eV/atom
space-group type: P-6m2

a = 5.135 Å, b = 5.135 Å, c = 3.902 Å
α = 90.00°, β = 90.00°, γ = 120.00°
Positions (direct):
Sr: 0.000 0.000 0.000
Mg: 0.667 0.333 0.500
Tl: 0.333 0.667 0.500

A relaxed structure of SrMgTl, computed with GGA-PBEsol.

ρ: 4.762 g/cm³
ΔE_f: 0.26 eV/atom
space-group type: F-43m

a = 7.613 Å, b = 7.613 Å, c = 7.613 Å
α = 90.00°, β = 90.00°, γ = 90.00°
Positions (direct):
Sr: 0.000 0.000 0.000
Sr: 0.000 0.500 0.500
Sr: 0.500 0.000 0.500
Sr: 0.500 0.500 0.000
Mg: 0.250 0.250 0.250
Mg: 0.250 0.750 0.750
Mg: 0.750 0.250 0.750
Mg: 0.750 0.750 0.250
Tl: 0.250 0.250 0.750
Tl: 0.250 0.750 0.250
Tl: 0.750 0.250 0.250
Tl: 0.750 0.750 0.750